1.
# CsCaF3

An optimized crystal structure of CsCaF3 (PBE, the Alexandria database).

total moment: 0.0 μB/f.u.
raw formation energy: -3378 meV/atom
DOS at the Fermi energy: 0.000 states/eV/atom

Geometry as POSCAR:
```
CsCaF3
1.0
-13.2221 0.7696 -5.9840
-4.4093 -4.6791 -4.3801
3.2780 -4.0841 5.7530
F Cs Ca
12 4 4
Direct
0.0001 0.1305 0.8692 F
0.0015 0.3671 0.6313 F
0.7507 0.7599 0.7615 F
0.7493 0.2615 0.2599 F
0.5015 0.8687 0.1329 F
0.9999 0.8695 0.1308 F
0.2507 0.7385 0.7401 F
0.9985 0.6329 0.3687 F
0.5001 0.6308 0.3695 F
0.4985 0.1313 0.8671 F
0.4999 0.3692 0.6305 F
0.2493 0.2401 0.2385 F
0.7500 0.5395 0.0395 Cs
0.7500 0.0398 0.5398 Cs
0.2500 0.9602 0.4602 Cs
0.2500 0.4605 0.9605 Cs
0.7509 0.5113 0.5128 Ca
0.7491 0.0128 0.0113 Ca
0.2491 0.4887 0.4872 Ca
0.2509 0.9872 0.9887 Ca
```



2.
# Cs3CaF

An optimized crystal structure of Cs3CaF (PBE, the Alexandria database).

total moment: 0.0 μB/f.u.
raw formation energy: -840 meV/atom
DOS at the Fermi energy: 0.860 states/eV/atom

Geometry as POSCAR:
```
Cs3CaF
1.0
-3.3562 4.3888 3.3887
-2.3352 -4.7115 3.7892
5.0291 0.7412 4.0209
Cs F Ca
3 1 1
Direct
0.0000 0.0000 0.5000 Cs
0.5000 0.0000 0.0000 Cs
0.0000 0.5000 0.0000 Cs
0.0000 0.0000 0.0000 F
0.5000 0.5000 0.5000 Ca
```



3.
# Cs3Ca2F9

An optimized crystal structure of Cs3Ca2F9 (PBE, the Alexandria database).

total moment: 2.1 μB/f.u.
raw formation energy: -2790 meV/atom
DOS at the Fermi energy: 1.427 states/eV/atom

Geometry as POSCAR:
```
Cs3Ca2F9
1.0
6.5265 0.0000 0.0000
-3.2633 5.6521 0.0000
0.0000 0.0000 8.6216
Ca F Cs
2 9 3
Direct
0.6667 0.3333 0.1362 Ca
0.3333 0.6667 0.8638 Ca
0.0000 0.5000 0.0000 F
0.1863 0.8137 0.6845 F
0.6274 0.8137 0.6845 F
0.3726 0.1863 0.3155 F
0.5000 0.5000 0.0000 F
0.8137 0.1863 0.3155 F
0.5000 0.0000 0.0000 F
0.1863 0.3726 0.6845 F
0.8137 0.6274 0.3155 F
0.3333 0.6667 0.3705 Cs
0.0000 0.0000 0.0000 Cs
0.6667 0.3333 0.6295 Cs
```



4.
# Cs4CaF6

An optimized crystal structure of Cs4CaF6 (PBE, the Alexandria database).

total moment: 0.2 μB/f.u.
raw formation energy: -3008 meV/atom
DOS at the Fermi energy: 0.000 states/eV/atom

Geometry as POSCAR:
```
Cs4CaF6
1.0
8.1677 0.0031 -0.0717
0.0711 8.1674 -0.0717
-0.0031 -0.0031 8.1680
Cs F Ca
8 12 2
Direct
0.7500 0.7500 0.2500 Cs
0.1116 0.7500 0.6116 Cs
0.6116 0.8884 0.7500 Cs
0.2500 0.2500 0.7500 Cs
0.8884 0.2500 0.3884 Cs
0.2500 0.6116 0.1116 Cs
0.7500 0.3884 0.8884 Cs
0.3884 0.1116 0.2500 Cs
0.0574 0.9273 0.2659 F
0.5727 0.4426 0.2341 F
0.5574 0.2341 0.5727 F
0.7659 0.5727 0.5574 F
0.9273 0.7341 0.9426 F
0.2341 0.4273 0.4426 F
0.7341 0.0574 0.0727 F
0.0727 0.2659 0.0574 F
0.4273 0.5574 0.7659 F
0.9426 0.0727 0.7341 F
0.4426 0.7659 0.4273 F
0.2659 0.9426 0.9273 F
0.0000 0.0000 0.0000 Ca
0.5000 0.5000 0.5000 Ca
```